*w*
This record from Alexandria via LeMat-Bulk describes a relaxed YRe2Os crystal. The functional is GGA-PBE.

Output
spin magnetization: 0.0 Bohr magnetons per cell

The structure in POSCAR format:
```
YRe2Os
1.0
-1.951 1.951 4.561
1.951 -1.951 4.561
1.951 1.951 -4.561
Y Re Os
1 2 1
Direct
0.000 0.000 0.000 Y
0.250 0.750 0.500 Re
0.750 0.250 0.500 Re
0.500 0.500 0.000 Os
```

*x*
This record from Alexandria via LeMat-Bulk describes a relaxed YRe2Os crystal. The functional is GGA-PBE.

Output
spin magnetization: 0.0 Bohr magnetons per cell

The structure in POSCAR format:
```
YRe2Os
1.0
3.170 0.000 0.000
0.000 4.546 0.000
0.000 0.000 4.711
Y Re Os
1 2 1
Direct
0.000 0.000 0.000 Y
0.000 0.500 0.500 Re
0.500 0.000 0.500 Re
0.500 0.500 0.000 Os
```

*y*
This record from Alexandria via LeMat-Bulk describes a relaxed YRe2Os crystal. The functional is GGA-PBE.

Output
spin magnetization: 0.0 Bohr magnetons per cell

The structure in POSCAR format:
```
YRe2Os
1.0
5.162 -1.510 0.000
5.162 1.510 0.000
-1.959 0.000 4.538
Y Re Os
1 2 1
Direct
0.000 0.000 0.000 Y
0.219 0.219 0.743 Re
0.498 0.498 0.483 Re
0.772 0.772 0.351 Os
```

*z*
This record from Alexandria via LeMat-Bulk describes a relaxed YRe2Os crystal. The functional is GGA-PBE.

Output
spin magnetization: 0.0 Bohr magnetons per cell

The structure in POSCAR format:
```
YRe2Os
1.0
2.678 -4.444 0.000
2.678 4.444 0.000
0.000 0.000 2.873
Y Re Os
1 2 1
Direct
0.000 0.000 0.000 Y
0.000 0.500 0.500 Re
0.500 0.000 0.500 Re
0.500 0.500 0.000 Os
```

We find *y* to be the most stable, with the next structure 3.6 kJ/mol of atoms higher.

*w*
This record from Alexandria via LeMat-Bulk describes a relaxed YRe2Os crystal. The functional is GGA-PBE.

Output
spin magnetization: 0.0 Bohr magnetons per cell

The structure in POSCAR format:
```
YRe2Os
1.0
-2.287 2.287 3.231
2.287 -2.287 3.231
2.287 2.287 -3.231
Y Re Os
1 2 1
Direct
0.000 0.000 0.000 Y
0.500 0.500 0.000 Re
0.750 0.250 0.500 Re
0.250 0.750 0.500 Os
```

*x*
This record from Alexandria via LeMat-Bulk describes a relaxed YRe2Os crystal. The functional is GGA-PBE.

Output
spin magnetization: 0.0 Bohr magnetons per cell

The structure in POSCAR format:
```
YRe2Os
1.0
-3.813 3.813 2.698
3.813 -3.813 2.698
3.813 3.813 -2.698
Y Re Os
2 4 2
Direct
0.000 0.000 0.000 Y
0.750 0.250 0.500 Y
0.182 0.625 0.057 Re
0.375 0.432 0.557 Re
0.568 0.125 0.943 Re
0.875 0.818 0.443 Re
0.250 0.750 0.500 Os
0.500 0.500 0.000 Os
```

*y*
This record from Alexandria via LeMat-Bulk describes a relaxed YRe2Os crystal. The functional is GGA-PBE.

Output
spin magnetization: 0.0 Bohr magnetons per cell

The structure in POSCAR format:
```
YRe2Os
1.0
2.811 0.000 0.000
0.000 4.568 0.000
-1.020 0.000 5.288
Y Re Os
1 2 1
Direct
0.000 0.000 0.000 Y
0.233 0.500 0.729 Re
0.767 0.500 0.271 Re
0.500 0.000 0.500 Os
```

We find *w* to be the most stable, with the next structure 9.5 kJ/mol of atoms higher.

*w*
This record from Alexandria via LeMat-Bulk describes a relaxed YRe2Os crystal. The functional is GGA-PBE.

Output
spin magnetization: 0.0 Bohr magnetons per cell

The structure in POSCAR format:
```
YRe2Os
1.0
2.894 0.000 0.000
0.000 4.285 0.000
-1.427 0.000 5.695
Y Re Os
1 2 1
Direct
0.000 0.000 0.000 Y
0.320 0.500 0.706 Re
0.434 0.000 0.499 Re
0.707 0.500 0.290 Os
```

*x*
This record from Alexandria via LeMat-Bulk describes a relaxed YRe2Os crystal. The functional is GGA-PBE.

Output
spin magnetization: 0.0 Bohr magnetons per cell

The structure in POSCAR format:
```
YRe2Os
1.0
1.427 0.824 9.653
-1.427 0.824 9.653
0.000 -1.648 9.653
Y Re Os
1 2 1
Direct
0.000 0.000 0.000 Y
0.240 0.240 0.240 Re
0.760 0.760 0.760 Re
0.500 0.500 0.500 Os
```

We find *w* to be the most stable, with the next structure 14.8 kJ/mol of atoms higher.

*w*
This record from Alexandria via LeMat-Bulk describes a relaxed YRe2Os2 crystal. The functional is GGA-PBE.

Output
spin magnetization: 0.0 Bohr magnetons per cell

The structure in POSCAR format:
```
YRe2Os2
1.0
-2.133 2.133 5.208
2.133 -2.133 5.208
2.133 2.133 -5.208
Y Re Os
1 2 2
Direct
0.000 0.000 0.000 Y
0.250 0.750 0.500 Re
0.750 0.250 0.500 Re
0.380 0.380 0.000 Os
0.620 0.620 0.000 Os
```

*x*
This record from Alexandria via LeMat-Bulk describes a relaxed YRe2Os2 crystal. The functional is GGA-PBE.

Output
spin magnetization: 0.0 Bohr magnetons per cell

The structure in POSCAR format:
```
YRe2Os2
1.0
7.807 0.000 0.000
0.000 7.807 0.000
0.000 0.000 2.786
Y Re Os
2 4 4
Direct
0.000 0.000 0.000 Y
0.500 0.500 0.000 Y
0.119 0.381 0.000 Re
0.381 0.881 0.000 Re
0.619 0.119 0.000 Re
0.881 0.619 0.000 Re
0.170 0.670 0.500 Os
0.330 0.170 0.500 Os
0.670 0.830 0.500 Os
0.830 0.330 0.500 Os
```

*y*
This record from Alexandria via LeMat-Bulk describes a relaxed YRe2Os2 crystal. The functional is GGA-PBE.

Output
spin magnetization: 0.0 Bohr magnetons per cell

The structure in POSCAR format:
```
YRe2Os2
1.0
7.773 0.000 0.000
0.000 7.773 0.000
0.000 0.000 2.798
Y Re Os
2 4 4
Direct
0.000 0.000 0.000 Y
0.500 0.500 0.000 Y
0.169 0.331 0.500 Re
0.331 0.831 0.500 Re
0.669 0.169 0.500 Re
0.831 0.669 0.500 Re
0.123 0.623 0.000 Os
0.377 0.123 0.000 Os
0.623 0.877 0.000 Os
0.877 0.377 0.000 Os
```

We find *w* to be the most stable, with the next structure 7.5 kJ/mol of atoms higher.

*w*
This record from Alexandria via LeMat-Bulk describes a relaxed YRe3Os crystal. The functional is GGA-PBE.

Output
spin magnetization: 0.0 Bohr magnetons per cell

The structure in POSCAR format:
```
YRe3Os
1.0
4.756 0.000 0.000
0.000 4.756 0.000
0.000 0.000 4.756
Y Re Os
1 3 1
Direct
0.000 0.000 0.000 Y
0.000 0.500 0.500 Re
0.500 0.000 0.500 Re
0.500 0.500 0.000 Re
0.500 0.500 0.500 Os
```

*x*
This record from Alexandria via LeMat-Bulk describes a relaxed YRe3Os crystal. The functional is GGA-PBE.

Output
spin magnetization: 0.0 Bohr magnetons per cell

The structure in POSCAR format:
```
YRe3Os
1.0
4.655 0.000 0.000
0.000 4.655 0.000
0.000 0.000 4.655
Y Re Os
1 3 1
Direct
0.000 0.000 0.000 Y
0.000 0.000 0.500 Re
0.000 0.500 0.000 Re
0.500 0.000 0.000 Re
0.500 0.500 0.500 Os
```

We find *w* to be the most stable, with the next structure 204.8 kJ/mol of atoms higher.

*w*
This record from Alexandria via LeMat-Bulk describes a relaxed Zn2ReOs crystal. The functional is GGA-PBE.

Output
spin magnetization: 0.0 Bohr magnetons per cell

The structure in POSCAR format:
```
Zn2ReOs
1.0
2.873 0.000 0.000
0.000 4.469 0.000
0.000 0.000 4.533
Zn Re Os
2 1 1
Direct
0.000 0.000 0.000 Zn
0.500 0.000 0.500 Zn
0.000 0.500 0.500 Re
0.500 0.500 0.000 Os
```

*x*
This record from Alexandria via LeMat-Bulk describes a relaxed Zn2ReOs crystal. The functional is GGA-PBE.

Output
spin magnetization: 0.0 Bohr magnetons per cell

The structure in POSCAR format:
```
Zn2ReOs
1.0
-2.055 2.055 3.383
2.055 -2.055 3.383
2.055 2.055 -3.383
Zn Re Os
2 1 1
Direct
0.000 0.000 0.000 Zn
0.750 0.250 0.500 Zn
0.500 0.500 0.000 Re
0.250 0.750 0.500 Os
```

*y*
This record from Alexandria via LeMat-Bulk describes a relaxed Zn2ReOs crystal. The functional is GGA-PBE.

Output
spin magnetization: 0.0 Bohr magnetons per cell

The structure in POSCAR format:
```
Zn2ReOs
1.0
1.428 -2.320 0.000
1.428 2.320 0.000
0.000 0.000 8.976
Zn Re Os
2 1 1
Direct
0.000 0.000 0.000 Zn
0.500 0.500 0.249 Zn
0.000 0.000 0.506 Re
0.500 0.500 0.747 Os
```

*z*
This record from Alexandria via LeMat-Bulk describes a relaxed Zn2ReOs crystal. The functional is GGA-PBE.

Output
spin magnetization: 0.0 Bohr magnetons per cell

The structure in POSCAR format:
```
Zn2ReOs
1.0
4.493 -1.400 0.000
4.493 1.400 0.000
-0.924 0.000 4.592
Zn Re Os
2 1 1
Direct
0.248 0.248 0.248 Zn
0.752 0.752 0.752 Zn
0.000 0.000 0.500 Re
0.500 0.500 0.000 Os
```

We find *x* to be the most stable, with the next structure 1.9 kJ/mol of atoms higher.